1.
# CsSrTl2Sb2

Crystalline CsSrTl2Sb2 at its relaxed geometry (PBE, the Alexandria database).

a = 5.5159 Å, b = 5.5159 Å, c = 9.0977 Å
α = 90.00°, β = 90.00°, γ = 120.00°
Fractional positions:
Cs1 0.0000 0.0000 0.0000
Sr1 0.0000 0.0000 0.5000
Tl1 0.3333 0.6667 0.6652
Tl2 0.6667 0.3333 0.3348
Sb1 0.3333 0.6667 0.2955
Sb2 0.6667 0.3333 0.7045

2.
# CsSr2ZrSb

Crystalline CsSr2ZrSb at its relaxed geometry (PBE, the Alexandria database).

a = 6.1958 Å, b = 6.1958 Å, c = 6.0596 Å
α = 90.00°, β = 90.00°, γ = 90.00°
Fractional positions:
Cs1 0.0000 0.0000 0.0000
Sr1 0.0000 0.5000 0.0000
Sr2 0.5000 0.0000 0.0000
Zr1 0.5000 0.5000 0.5000
Sb1 0.0000 0.0000 0.5000

3.
# CsTaSb2

Crystalline CsTaSb2 at its relaxed geometry (PBE, the Alexandria database).

a = 5.3897 Å, b = 5.3897 Å, c = 5.3897 Å
α = 60.00°, β = 60.00°, γ = 60.00°
Fractional positions:
Cs1 0.0000 0.0000 0.0000
Ta1 0.5000 0.5000 0.5000
Sb1 0.2500 0.2500 0.2500
Sb2 0.7500 0.7500 0.7500

4.
# CsTaSb3

Crystalline CsTaSb3 at its relaxed geometry (PBE, the Alexandria database).

As for the energy above the most stable polymorph in this dataset: 12.42 eV/f.u.

a = 5.8276 Å, b = 5.8276 Å, c = 5.8276 Å
α = 90.00°, β = 90.00°, γ = 90.00°
Fractional positions:
Cs1 0.0000 0.0000 0.0000
Ta1 0.5000 0.5000 0.5000
Sb1 0.0000 0.0000 0.5000
Sb2 0.0000 0.5000 0.0000
Sb3 0.5000 0.0000 0.0000

5.
# CsTaSb3

Crystalline CsTaSb3 at its relaxed geometry (PBE, the Alexandria database).

As for the energy above the most stable polymorph in this dataset: 0.00 eV/f.u.

a = 5.5018 Å, b = 5.5018 Å, c = 5.5018 Å
α = 90.00°, β = 90.00°, γ = 90.00°
Fractional positions:
Cs1 0.0000 0.0000 0.0000
Ta1 0.5000 0.5000 0.5000
Sb1 0.0000 0.5000 0.5000
Sb2 0.5000 0.0000 0.5000
Sb3 0.5000 0.5000 0.0000

6.
# CsTa3Sb

Crystalline CsTa3Sb at its relaxed geometry (PBE, the Alexandria database).

As for the energy above the most stable polymorph in this dataset: 0.00 eV/f.u.

a = 5.2563 Å, b = 5.2563 Å, c = 5.2563 Å
α = 90.00°, β = 90.00°, γ = 90.00°
Fractional positions:
Cs1 0.0000 0.0000 0.0000
Ta1 0.0000 0.5000 0.5000
Ta2 0.5000 0.0000 0.5000
Ta3 0.5000 0.5000 0.0000
Sb1 0.5000 0.5000 0.5000

7.
# CsTa3Sb

Crystalline CsTa3Sb at its relaxed geometry (PBE, the Alexandria database).

As for the energy above the most stable polymorph in this dataset: 4.67 eV/f.u.

a = 5.0727 Å, b = 5.0727 Å, c = 5.0727 Å
α = 90.00°, β = 90.00°, γ = 90.00°
Fractional positions:
Cs1 0.0000 0.0000 0.0000
Ta1 0.0000 0.0000 0.5000
Ta2 0.0000 0.5000 0.0000
Ta3 0.5000 0.0000 0.0000
Sb1 0.5000 0.5000 0.5000

8.
# Cs6TaSb4

Crystalline Cs6TaSb4 at its relaxed geometry (PBE, the Alexandria database).

a = 11.7993 Å, b = 11.7993 Å, c = 9.5341 Å
α = 90.00°, β = 90.00°, γ = 120.00°
Fractional positions:
Cs1 0.0643 0.5321 0.0000
Cs2 0.1444 0.2889 0.3172
Cs3 0.1444 0.8556 0.3172
Cs4 0.2889 0.1444 0.8172
Cs5 0.4679 0.5321 0.0000
Cs6 0.4679 0.9357 0.0000
Cs7 0.5321 0.0643 0.5000
Cs8 0.5321 0.4679 0.5000
Cs9 0.7111 0.8556 0.3172
Cs10 0.8556 0.1444 0.8172
Cs11 0.8556 0.7111 0.8172
Cs12 0.9357 0.4679 0.5000
Ta1 0.3333 0.6667 0.6069
Ta2 0.6667 0.3333 0.1069
Sb1 0.2072 0.4145 0.6960
Sb2 0.2072 0.7928 0.6960
Sb3 0.3333 0.6667 0.3242
Sb4 0.4145 0.2072 0.1960
Sb5 0.5855 0.7928 0.6960
Sb6 0.6667 0.3333 0.8242
Sb7 0.7928 0.2072 0.1960
Sb8 0.7928 0.5855 0.1960

9.
# CsTaSbTe2

Crystalline CsTaSbTe2 at its relaxed geometry (PBE, the Alexandria database).

As for the energy above the most stable polymorph in this dataset: 12.53 eV/f.u.

a = 6.0197 Å, b = 6.0197 Å, c = 6.0639 Å
α = 90.00°, β = 90.00°, γ = 90.00°
Fractional positions:
Cs1 0.0000 0.0000 0.0000
Ta1 0.5000 0.5000 0.5000
Sb1 0.0000 0.0000 0.5000
Te1 0.0000 0.5000 0.0000
Te2 0.5000 0.0000 0.0000

10.
# CsTaSbTe2

Crystalline CsTaSbTe2 at its relaxed geometry (PBE, the Alexandria database).

As for the energy above the most stable polymorph in this dataset: 0.00 eV/f.u.

a = 5.5717 Å, b = 5.5717 Å, c = 5.5100 Å
α = 90.00°, β = 90.00°, γ = 90.00°
Fractional positions:
Cs1 0.0000 0.0000 0.0000
Ta1 0.5000 0.5000 0.5000
Sb1 0.5000 0.5000 0.0000
Te1 0.0000 0.5000 0.5000
Te2 0.5000 0.0000 0.5000

| no. | energy (eV per atom) | total moment (μB/atom) | formation energy without anion corrections (eV/atom) |
| --- | --- | --- | --- |
| 1 | -3.01 | 0.0000 | -0.422 |
| 2 | -2.04 | 0.5784 | 1.341 |
| 3 | -4.45 | 0.3219 | 0.785 |
| 4 | -2.50 | 0.0000 | 2.517 |
| 5 | -4.98 | 0.0000 | 0.033 |
| 6 | -6.02 | 0.0000 | 2.084 |
| 7 | -5.09 | 0.0000 | 3.018 |
| 8 | -3.40 | 0.0638 | -0.362 |
| 9 | -2.34 | 0.0752 | 2.286 |
| 10 | -4.84 | 0.0000 | -0.219 |